ZnHgW2 | Alexandria | GGA-PBE | relaxed; energy relative to the elements = 0.64 eV per atom; DFT total energy = -6.2283 eV per atom
1.0
9.556 -0.016 -0.010
9.127 2.830 -0.010
9.127 1.375 2.474
Hg W Zn
1 2 1
Direct
0.750 0.750 0.750 Hg
0.996 0.996 0.996 W
0.504 0.504 0.504 W
0.250 0.250 0.250 Zn

---

NaSbTe | Alexandria | GGA-PBE | relaxed; uncorrected formation energy = -1.2 eV/f.u.; DFT total energy = -3.2521 eV per atom
1.0
4.449 0.003 0.000
-1.806 6.433 0.001
-1.540 -0.869 7.089
Na Sb Te
2 2 2
Direct
0.418 0.052 0.208 Na
0.760 0.344 0.822 Na
0.054 0.748 0.581 Sb
0.685 0.851 0.854 Sb
0.071 0.160 0.510 Te
0.451 0.566 0.098 Te

---

Na3TmBi2S6 | Alexandria | GGA-PBE | relaxed; uncorrected formation energy = -13.4 eV/f.u.; DFT total energy = -4.5300 eV per atom
1.0
-3.154 3.625 -5.076
-3.776 -2.743 5.203
3.103 5.372 3.516
Na Tm Bi S
3 1 2 6
Direct
0.172 0.828 0.500 Na
0.828 0.172 0.500 Na
0.500 0.500 0.500 Na
0.000 0.000 0.000 Tm
0.334 0.666 0.000 Bi
0.666 0.334 0.000 Bi
0.923 0.601 0.768 S
0.755 0.755 0.232 S
0.077 0.399 0.232 S
0.601 0.923 0.768 S
0.245 0.245 0.768 S
0.399 0.077 0.232 S

---

Please write out number 3 again, unchanged.
Na3TmBi2S6 | Alexandria | GGA-PBE | relaxed; uncorrected formation energy = -13.4 eV/f.u.; DFT total energy = -4.5300 eV per atom
1.0
-3.154 3.625 -5.076
-3.776 -2.743 5.203
3.103 5.372 3.516
Na Tm Bi S
3 1 2 6
Direct
0.172 0.828 0.500 Na
0.828 0.172 0.500 Na
0.500 0.500 0.500 Na
0.000 0.000 0.000 Tm
0.334 0.666 0.000 Bi
0.666 0.334 0.000 Bi
0.923 0.601 0.768 S
0.755 0.755 0.232 S
0.077 0.399 0.232 S
0.601 0.923 0.768 S
0.245 0.245 0.768 S
0.399 0.077 0.232 S